No. 1
## HgBi2Au (GGA-PBE)

Data for an optimized crystal structure of HgBi2Au.

## Properties
**Density**: 11.77 Mg/m³
**Energy of formation**: 0.27 eV per formula unit
**V**: 28.8 Å³ per atom
**Energy**: -11.1 eV for the cell shown

The structure in CIF format:
```
data_HgBi2Au
_symmetry_space_group_name_H-M 'P -6 m 2'
_symmetry_Int_Tables_number 187
_symmetry_space_group_name_Hall 'P -6 2'
_cell_length_a 3.8060
_cell_length_b 3.8060
_cell_length_c 9.1721
_cell_angle_alpha 90.00
_cell_angle_beta 90.00
_cell_angle_gamma 120.00
loop_
_atom_site_label
_atom_site_type_symbol
_atom_site_fract_x
_atom_site_fract_y
_atom_site_fract_z
Hg1 Hg 0.0000 0.0000 0.0000
Bi1 Bi 0.6667 0.3333 0.2876
Au1 Au 0.0000 0.0000 0.5000
```



No. 2
## P2RhPb (GGA-PBE)

Data for an optimized crystal structure of P2RhPb.

## Properties
**Density**: 8.44 Mg/m³
**Energy of formation**: 1.86 eV per formula unit
**V**: 18.3 Å³ per atom
**Energy**: -40.0 eV for the cell shown

The structure in CIF format:
```
data_P2RhPb
_symmetry_space_group_name_H-M 'C m m m'
_symmetry_Int_Tables_number 65
_symmetry_space_group_name_Hall '-C 2 2'
_cell_length_a 5.4543
_cell_length_b 7.3740
_cell_length_c 3.6394
_cell_angle_alpha 90.00
_cell_angle_beta 90.00
_cell_angle_gamma 90.00
loop_
_atom_site_label
_atom_site_type_symbol
_atom_site_fract_x
_atom_site_fract_y
_atom_site_fract_z
P1 P 0.2500 0.2500 0.0000
Rh1 Rh 0.0000 0.0000 0.5000
Pb1 Pb 0.0000 0.5000 0.5000
```



No. 3
## ScZnCr2 (GGA-PBE)

Data for an optimized crystal structure of ScZnCr2.

## Properties
**Density**: 6.07 Mg/m³
**Energy of formation**: 1.38 eV per formula unit
**V**: 14.7 Å³ per atom
**Energy**: -50.9 eV for the cell shown

The structure in CIF format:
```
data_ScZnCr2
_symmetry_space_group_name_H-M 'I m m m'
_symmetry_Int_Tables_number 71
_symmetry_space_group_name_Hall '-I 2 2'
_cell_length_a 3.3109
_cell_length_b 4.0600
_cell_length_c 8.7219
_cell_angle_alpha 90.00
_cell_angle_beta 90.00
_cell_angle_gamma 90.00
loop_
_atom_site_label
_atom_site_type_symbol
_atom_site_fract_x
_atom_site_fract_y
_atom_site_fract_z
Sc1 Sc 0.0000 0.0000 0.0000
Zn1 Zn 0.0000 0.0000 0.5000
Cr1 Cr 0.0000 0.5000 0.2457
```



No. 4
## KRe4 (GGA-PBE)

Data for an optimized crystal structure of KRe4.

## Properties
**Density**: 14.63 Mg/m³
**Energy of formation**: 6.69 eV per formula unit
**V**: 17.8 Å³ per atom
**Energy**: -88.4 eV for the cell shown
**Distance to the lowest polymorph of the same formula**: 2.82 eV/f.u.

The structure in CIF format:
```
data_KRe4
_symmetry_space_group_name_H-M 'I 4/m'
_symmetry_Int_Tables_number 87
_symmetry_space_group_name_Hall '-I 4'
_cell_length_a 6.0690
_cell_length_b 6.0690
_cell_length_c 4.8324
_cell_angle_alpha 90.00
_cell_angle_beta 90.00
_cell_angle_gamma 90.00
loop_
_atom_site_label
_atom_site_type_symbol
_atom_site_fract_x
_atom_site_fract_y
_atom_site_fract_z
K1 K 0.0000 0.0000 0.0000
Re1 Re 0.0360 0.2939 0.5000
```



No. 5
## Ca2YHg (GGA-PBE)

Data for an optimized crystal structure of Ca2YHg.

## Properties
**Density**: 4.51 Mg/m³
**Energy of formation**: -0.04 eV per formula unit
**V**: 34.0 Å³ per atom
**Energy**: -43.3 eV for the cell shown

The structure in CIF format:
```
data_Ca2YHg
_symmetry_space_group_name_H-M 'I -4 2 d'
_symmetry_Int_Tables_number 122
_symmetry_space_group_name_Hall 'I -4 2bw'
_cell_length_a 9.0988
_cell_length_b 9.0988
_cell_length_c 6.5790
_cell_angle_alpha 90.00
_cell_angle_beta 90.00
_cell_angle_gamma 90.00
loop_
_atom_site_label
_atom_site_type_symbol
_atom_site_fract_x
_atom_site_fract_y
_atom_site_fract_z
Ca1 Ca 0.1926 0.7500 0.1250
Y1 Y 0.0000 0.0000 0.5000
Hg1 Hg 0.0000 0.0000 0.0000
```



No. 6
## BeTe2Ir (GGA-PBE)

Data for an optimized crystal structure of BeTe2Ir.

## Properties
**Density**: 9.98 Mg/m³
**V**: 19.0 Å³ per atom
**Energy**: -16.5 eV for the cell shown
**ΔE_f (raw)**: 0.5931 eV/atom

The structure in CIF format:
```
data_BeTe2Ir
_symmetry_space_group_name_H-M 'P 4/m m m'
_symmetry_Int_Tables_number 123
_symmetry_space_group_name_Hall '-P 4 2'
_cell_length_a 4.9173
_cell_length_b 4.9173
_cell_length_c 3.1401
_cell_angle_alpha 90.00
_cell_angle_beta 90.00
_cell_angle_gamma 90.00
loop_
_atom_site_label
_atom_site_type_symbol
_atom_site_fract_x
_atom_site_fract_y
_atom_site_fract_z
Be1 Be 0.0000 0.0000 0.0000
Te1 Te 0.0000 0.5000 0.5000
Ir1 Ir 0.5000 0.5000 0.0000
```